SmEr8Pb6 after structural relaxation, computed with PBE.

```
SmEr8Pb6
1.0
4.5429 2.6228 6.5670
-4.5429 2.6228 6.5670
0.0000 -5.2457 6.5670
Sm Er Pb
1 8 6
direct
0.0000 0.0000 0.0000
0.1057 0.7748 0.4355
0.2252 0.5645 0.8943
0.3332 0.3332 0.3332
0.4355 0.1057 0.7748
0.5645 0.8943 0.2252
0.6669 0.6669 0.6669
0.7748 0.4355 0.1057
0.8943 0.2252 0.5645
0.0691 0.4071 0.7313
0.2687 0.9309 0.5930
0.4071 0.7313 0.0691
0.5930 0.2687 0.9309
0.7313 0.0691 0.4071
0.9309 0.5930 0.2687
```

Summary:
**SG**: R-3 (148)
**DOS(E_F)**: 0.786 states/eV per atom
**Energy of formation from the pure elements**: -460 kJ/mol of formula units